[1]
Computed, not measured: crystalline CsLaMo3 at its relaxed geometry at the PBE level of DFT.

The value obtained for the formation energy is 2.543 eV per atom. The size of the total moment comes out at 0.00 μB/cell. The energy above the most stable polymorph in this dataset comes out at 0.000 eV per atom. The calculation puts the mass density at 7.0 g cm⁻³. For the density of states at the Fermi level, the calculation gives 12.96 states/eV/cell.

The space group is Pm-3m (No. 221) and the conventional cell measures 5.099, 5.099 and 5.099 Å, with angles of 90.00, 90.00 and 90.00 degrees. The asymmetric unit holds Cs at (0.000, 0.000, 0.000), La at (0.500, 0.500, 0.500) and Mo at (0.000, 0.500, 0.500).



[2]
Computed, not measured: crystalline CsLa2Mo2N6 at its relaxed geometry at the PBE level of DFT.

The size of the total moment comes out at 1.06 μB/cell. The calculation puts the mass density at 4.4 g cm⁻³. The energy relative to the elements, uncorrected comes out at -0.55 eV/atom. For the density of states at the Fermi level, the calculation gives 4.23 states/eV/cell.

The space group is P-1 (No. 2) and the conventional cell measures 6.572, 7.051 and 7.205 Å, with angles of 61.03, 84.98 and 62.99 degrees. The asymmetric unit holds Cs at (0.000, 0.000, 0.000), La at (0.343, 0.560, 0.733), Mo at (0.381, 0.073, 0.308), N at (0.074, 0.247, 0.307), N at (0.456, 0.765, 0.360) and N at (0.489, 0.744, 0.888).



[3]
Computed, not measured: crystalline Cs2LaMo2N6 at its relaxed geometry at the PBE level of DFT.

The size of the total moment comes out at 6.12 μB/cell. The calculation puts the mass density at 4.4 g cm⁻³. The energy relative to the elements, uncorrected comes out at -0.09 eV/atom. For the density of states at the Fermi level, the calculation gives 16.58 states/eV/cell.

The space group is C2/m (No. 12) and the conventional cell measures 11.689, 6.657 and 7.769 Å, with angles of 90.00, 122.14 and 90.00 degrees. The asymmetric unit holds Cs at (0.218, 0.000, 0.183), La at (0.000, 0.000, 0.500), Mo at (0.062, 0.500, 0.216), N at (0.001, 0.271, 0.272) and N at (0.245, 0.500, 0.333).



[4]
Computed, not measured: crystalline CsLaMoN3 at its relaxed geometry at the PBE level of DFT.

The size of the total moment comes out at 0.00 μB/cell. The calculation puts the mass density at 5.7 g cm⁻³. The energy relative to the elements, uncorrected comes out at -0.49 eV/atom.

The space group is C2/m (No. 12) and the conventional cell measures 14.231, 3.974 and 8.778 Å, with angles of 90.00, 104.66 and 90.00 degrees. The asymmetric unit holds Cs at (0.140, 0.000, 0.067), La at (0.162, 0.000, 0.591), Mo at (0.011, 0.500, 0.340), N at (0.014, 0.000, 0.361), N at (0.123, 0.500, 0.769) and N at (0.155, 0.500, 0.375).



[5]
Computed, not measured: crystalline Cs2LaNiMo at its relaxed geometry at the PBE level of DFT.

The value obtained for the formation energy is 1.329 eV per atom. The size of the total moment comes out at 4.81 μB/cell. The calculation puts the mass density at 4.1 g cm⁻³. For the density of states at the Fermi level, the calculation gives 5.43 states/eV/cell.

The space group is P4/mmm (No. 123) and the conventional cell measures 6.550, 6.550 and 5.264 Å, with angles of 90.00, 90.00 and 90.00 degrees. The asymmetric unit holds Cs at (0.000, 0.500, 0.000), La at (0.000, 0.000, 0.500), Ni at (0.000, 0.000, 0.000) and Mo at (0.500, 0.500, 0.500).



Q: Which of these has the highest mass density?
A: CsLaMo3



Q: What is the size of the total moment in the second record?
A: 1.06 μB/cell